Here is a geometry-optimized YB4Ru structure from Alexandria via LeMat-Bulk. Energies are from PBE.

Cell lengths 5.9681, 11.5447, 3.5628 Å; angles 90.00, 90.00, 90.00 degrees
Last column: nearest neighbours and their distance in Å.
Fractional positions:
Y: 0.1285 0.1499 0.0000  14 B 2.64-2.78
Y: 0.3715 0.6499 0.0000  14 B 2.64-2.78
Y: 0.6285 0.3501 0.0000  14 B 2.64-2.78
Y: 0.8715 0.8501 0.0000  14 B 2.64-2.78
B: 0.0242 0.6916 0.5000  3 B 1.75-1.87
B: 0.1119 0.5466 0.5000  3 B 1.72-1.75
B: 0.1363 0.9698 0.5000  3 B 1.75-1.85
B: 0.2117 0.8146 0.5000  3 B 1.81-1.87
B: 0.2883 0.3146 0.5000  3 B 1.81-1.87
B: 0.3637 0.4698 0.5000  3 B 1.75-1.85
B: 0.3881 0.0466 0.5000  3 B 1.72-1.75
B: 0.4758 0.1916 0.5000  3 B 1.75-1.87
B: 0.5242 0.8084 0.5000  3 B 1.75-1.87
B: 0.6119 0.9534 0.5000  3 B 1.72-1.75
B: 0.6363 0.5302 0.5000  3 B 1.75-1.85
B: 0.7117 0.6854 0.5000  3 B 1.81-1.87
B: 0.7883 0.1854 0.5000  3 B 1.81-1.87
B: 0.8637 0.0302 0.5000  3 B 1.75-1.85
B: 0.8881 0.4534 0.5000  3 B 1.72-1.75
B: 0.9758 0.3084 0.5000  3 B 1.75-1.87
Ru: 0.1404 0.4074 0.0000  10 B 2.26-2.41
Ru: 0.3596 0.9074 0.0000  10 B 2.26-2.41
Ru: 0.6404 0.0926 0.0000  10 B 2.26-2.41
Ru: 0.8596 0.5926 0.0000  10 B 2.26-2.41

Output
The density of states at the Fermi level is 0.18 states/eV per atom. The formation energy is -0.623 eV/atom.


Here is a geometry-optimized CaHo2Zn2Ge2 structure from Alexandria via LeMat-Bulk. Energies are from PBE.

Cell lengths 11.3790, 11.3790, 11.3790 Å; angles 21.16, 21.16, 21.16 degrees
Last column: nearest neighbours and their distance in Å.
Fractional positions:
Ca: 0.0000 0.0000 0.0000  6 Ge 3.21, 6 Zn 3.34
Ho: 0.1237 0.1237 0.1237  3 Zn 3.02, 3 Ge 3.14
Ho: 0.8763 0.8763 0.8763  3 Zn 3.02, 3 Ge 3.14
Zn: 0.4028 0.4028 0.4028  3 Ge 2.42
Zn: 0.5972 0.5972 0.5972  3 Ge 2.42
Ge: 0.2697 0.2697 0.2697  3 Zn 2.42
Ge: 0.7303 0.7303 0.7303  3 Zn 2.42

Output
The density of states at the Fermi level is 0.69 states/eV per atom. The formation energy is -0.384 eV/atom.


Here is a geometry-optimized Tb10Hg3Te3 structure from Alexandria via LeMat-Bulk. Energies are from PBE.

Cell lengths 8.9429, 8.9429, 6.4857 Å; angles 90.00, 90.00, 120.00 degrees
Last column: nearest neighbours and their distance in Å.
Fractional positions:
Tb: 0.0000 0.2414 0.0000  3 Te 3.06-3.29
Tb: 0.0000 0.7637 0.5000  3 Hg 3.05-3.33
Tb: 0.2363 0.2363 0.5000  3 Hg 3.05-3.33
Tb: 0.2414 0.0000 0.0000  3 Te 3.06-3.29
Tb: 0.3333 0.6667 0.2514  3 Hg 3.19, 3 Te 3.20, 2 Tb 3.22-3.26
Tb: 0.3333 0.6667 0.7486  3 Hg 3.19, 3 Te 3.20, 2 Tb 3.22-3.26
Tb: 0.6667 0.3333 0.2514  3 Hg 3.19, 3 Te 3.20, 2 Tb 3.22-3.26
Tb: 0.6667 0.3333 0.7486  3 Hg 3.19, 3 Te 3.20, 2 Tb 3.22-3.26
Tb: 0.7586 0.7586 0.0000  3 Te 3.06-3.29
Tb: 0.7637 0.0000 0.5000  3 Hg 3.05-3.33
Hg: 0.0000 0.3914 0.5000  7 Tb 3.05-3.33
Hg: 0.3914 0.0000 0.5000  7 Tb 3.05-3.33
Hg: 0.6086 0.6086 0.5000  7 Tb 3.05-3.33
Te: 0.0000 0.6088 0.0000  7 Tb 3.06-3.29
Te: 0.3912 0.3912 0.0000  7 Tb 3.06-3.29
Te: 0.6088 0.0000 0.0000  7 Tb 3.06-3.29

Output
The formation energy (no corrections) comes out at -0.673 eV per atom. The density of states at the Fermi level is 1.08 states/eV per atom.